Density functional theory data (GGA-PBE) for a relaxed structure of KNb2SnS4.

Geometry as CIF:
```
data_KNb2SnS4
_chemical_formula_sum 'K1 Nb2 Sn1 S4'
_symmetry_space_group_name_H-M 'P -3 m 1'
_symmetry_Int_Tables_number 164
_symmetry_space_group_name_Hall '-P 3 2"'
_cell_length_a 3.4051
_cell_length_b 3.4051
_cell_length_c 17.6954
_cell_angle_alpha 90.00
_cell_angle_beta 90.00
_cell_angle_gamma 120.00
loop_
_atom_site_label
_atom_site_type_symbol
_atom_site_fract_x
_atom_site_fract_y
_atom_site_fract_z
_atom_site_occupancy
K1 K 0.0000 0.0000 0.0000 1
Nb1 Nb 0.3333 0.6667 0.7468 1
Sn1 Sn 0.0000 0.0000 0.5000 1
S1 S 0.0000 0.0000 0.1656 1
S2 S 0.0000 0.0000 0.3402 1
```

Properties
Crystal system: trigonal
Total magnetization: 0.0 μB/cell
Calculated density: 4.410 g cm⁻³
Total DFT energy (no corrections): -48.8 eV per cell


Density functional theory data (GGA-PBE) for a relaxed structure of NaTmSnSe3.

Geometry as CIF:
```
data_NaTmSnSe3
_chemical_formula_sum 'Na4 Tm4 Sn4 Se12'
_symmetry_space_group_name_H-M 'C 1 2/m 1'
_symmetry_Int_Tables_number 12
_cell_length_a 17.756
_cell_length_b 4.063
_cell_length_c 9.608
_cell_angle_alpha 90.00
_cell_angle_beta 105.32
_cell_angle_gamma 90.00
loop_
_symmetry_equiv_pos_as_xyz
'x,y,z'
'-x,-y,-z'
'-x,y,-z'
'x,-y,z'
'x+1/2,y+1/2,z'
'-x+1/2,-y+1/2,-z'
'-x+1/2,y+1/2,-z'
'x+1/2,-y+1/2,z'
loop_
_atom_site_label
_atom_site_type_symbol
_atom_site_fract_x
_atom_site_fract_y
_atom_site_fract_z
_atom_site_occupancy
Na1 Na 0.139 0.000 0.077 1
Tm1 Tm 0.176 0.000 0.588 1
Sn1 Sn 0.015 0.500 0.726 1
Se1 Se 0.000 0.000 0.500 1
Se2 Se 0.000 0.500 0.000 1
Se3 Se 0.165 0.500 0.376 1
Se4 Se 0.180 0.500 0.797 1
```

Properties
Polymorph energy (0 for the lowest one): 58 meV/atom
Crystal system: monoclinic
Total magnetization: 0.0 μB/cell
Calculated density: 5.439 g cm⁻³


Density functional theory data (GGA-PBE) for a relaxed structure of InTc2.

Geometry as CIF:
```
data_InTc2
_chemical_formula_sum 'In4 Tc8'
_symmetry_space_group_name_H-M 'F m -3 m'
_symmetry_Int_Tables_number 225
_symmetry_space_group_name_Hall '-F 4 2 3'
_cell_length_a 6.208
_cell_length_b 6.208
_cell_length_c 6.208
_cell_angle_alpha 90.00
_cell_angle_beta 90.00
_cell_angle_gamma 90.00
loop_
_atom_site_label
_atom_site_type_symbol
_atom_site_fract_x
_atom_site_fract_y
_atom_site_fract_z
_atom_site_occupancy
In1 In 0.000 0.000 0.000 1
Tc1 Tc 0.250 0.250 0.250 1
```

Properties
Crystal system: cubic
Total magnetization: 12.4 μB/cell
Calculated density: 8.629 g cm⁻³
Total DFT energy (no corrections): -78.0 eV per cell


Density functional theory data (GGA-PBE) for a relaxed structure of KSiAgTeS2.

Geometry as CIF:
```
data_KSiAgTeS2
_chemical_formula_sum 'K4 Si4 Ag4 Te4 S8'
_symmetry_space_group_name_H-M 'C m c m'
_symmetry_Int_Tables_number 63
_symmetry_space_group_name_Hall '-C 2c 2'
_cell_length_a 3.442
_cell_length_b 16.411
_cell_length_c 10.840
_cell_angle_alpha 90.00
_cell_angle_beta 90.00
_cell_angle_gamma 90.00
loop_
_atom_site_label
_atom_site_type_symbol
_atom_site_fract_x
_atom_site_fract_y
_atom_site_fract_z
_atom_site_occupancy
K1 K 0.000 0.234 0.250 1
Si1 Si 0.000 0.500 0.000 1
Ag1 Ag 0.000 0.094 0.750 1
Te1 Te 0.000 0.446 0.750 1
S1 S 0.000 0.101 0.528 1
```

Properties
Crystal system: orthorhombic
Calculated density: 3.979 g cm⁻³
Total DFT energy (no corrections): -90.7 eV per cell


Density functional theory data (GGA-PBE) for a relaxed structure of YAgPbS3.

Geometry as CIF:
```
data_YAgPbS3
_chemical_formula_sum 'Y4 Ag4 Pb4 S12'
_symmetry_space_group_name_H-M 'P n m a'
_symmetry_Int_Tables_number 62
_cell_length_a 10.490
_cell_length_b 4.037
_cell_length_c 13.160
_cell_angle_alpha 90.00
_cell_angle_beta 90.00
_cell_angle_gamma 90.00
loop_
_symmetry_equiv_pos_as_xyz
'x,y,z'
'-x,-y,-z'
'-x+1/2,-y,z+1/2'
'x+1/2,y,-z+1/2'
'x+1/2,-y+1/2,-z+1/2'
'-x+1/2,y+1/2,z+1/2'
'-x,y+1/2,-z'
'x,-y+1/2,z'
loop_
_atom_site_label
_atom_site_type_symbol
_atom_site_fract_x
_atom_site_fract_y
_atom_site_fract_z
_atom_site_occupancy
Y1 Y 0.020 0.250 0.240 1
Ag1 Ag 0.234 0.250 0.718 1
Pb1 Pb 0.216 0.750 0.497 1
S1 S 0.032 0.250 0.616 1
S2 S 0.076 0.750 0.107 1
S3 S 0.235 0.750 0.839 1
```

Properties
Polymorph energy (0 for the lowest one): 25 meV/atom
Crystal system: orthorhombic
Total magnetization: 0.0 μB/cell
Calculated density: 5.961 g cm⁻³


Density functional theory data (GGA-PBE) for a relaxed structure of Gd3Ge13Ir4.

Geometry as CIF:
```
data_Gd3Ge13Ir4
_chemical_formula_sum 'Gd6 Ge26 Ir8'
_symmetry_space_group_name_H-M 'P m -3 n'
_symmetry_Int_Tables_number 223
_symmetry_space_group_name_Hall '-P 4n 2 3'
_cell_length_a 9.058
_cell_length_b 9.058
_cell_length_c 9.058
_cell_angle_alpha 90.00
_cell_angle_beta 90.00
_cell_angle_gamma 90.00
loop_
_atom_site_label
_atom_site_type_symbol
_atom_site_fract_x
_atom_site_fract_y
_atom_site_fract_z
_atom_site_occupancy
Gd1 Gd 0.000 0.250 0.500 1
Ge1 Ge 0.000 0.000 0.000 1
Ge2 Ge 0.000 0.306 0.145 1
Ir1 Ir 0.250 0.250 0.250 1
```

Properties
Crystal system: cubic
Total magnetization: 0.0 μB/cell
Calculated density: 9.765 g cm⁻³
Total DFT energy (no corrections): -239.6 eV per cell


Density functional theory data (GGA-PBE) for a relaxed structure of AcAuO3.

Geometry as CIF:
```
data_AcAuO3
_chemical_formula_sum 'Ac6 Au6 O18'
_symmetry_space_group_name_H-M 'R -3'
_symmetry_Int_Tables_number 148
_symmetry_space_group_name_Hall '-R 3'
_cell_length_a 6.0756
_cell_length_b 6.0756
_cell_length_c 14.8927
_cell_angle_alpha 90.00
_cell_angle_beta 90.00
_cell_angle_gamma 120.00
loop_
_atom_site_label
_atom_site_type_symbol
_atom_site_fract_x
_atom_site_fract_y
_atom_site_fract_z
_atom_site_occupancy
Ac1 Ac 0.0000 0.0000 0.1270 1
Au1 Au 0.0000 0.0000 0.3507 1
O1 O 0.0297 0.6350 0.9230 1
```

Properties
Crystal system: trigonal
Total magnetization: 0.0 μB/cell
Calculated density: 9.877 g cm⁻³
Total DFT energy (no corrections): -174.9 eV per cell


Density functional theory data (GGA-PBE) for a relaxed structure of Ag17Ge.

Geometry as CIF:
```
data_Ag17Ge
_chemical_formula_sum 'Ag34 Ge2'
_symmetry_space_group_name_H-M 'P 1 21/m 1'
_symmetry_Int_Tables_number 11
_cell_length_a 5.033
_cell_length_b 5.849
_cell_length_c 34.721
_cell_angle_alpha 90.00
_cell_angle_beta 90.04
_cell_angle_gamma 90.00
loop_
_symmetry_equiv_pos_as_xyz
'x,y,z'
'-x,-y,-z'
'-x,y+1/2,-z'
'x,-y+1/2,z'
loop_
_atom_site_label
_atom_site_type_symbol
_atom_site_fract_x
_atom_site_fract_y
_atom_site_fract_z
_atom_site_occupancy
Ag1 Ag 0.000 0.000 0.000 1
Ag2 Ag 0.001 0.002 0.791 1
Ag3 Ag 0.166 0.250 0.140 1
Ag4 Ag 0.166 0.750 0.721 1
Ag5 Ag 0.166 0.750 0.930 1
Ag6 Ag 0.167 0.250 0.930 1
Ag7 Ag 0.168 0.750 0.139 1
Ag8 Ag 0.333 0.001 0.070 1
Ag9 Ag 0.333 0.503 0.279 1
Ag10 Ag 0.334 0.501 0.861 1
Ag11 Ag 0.497 0.250 0.791 1
Ag12 Ag 0.498 0.250 0.209 1
Ag13 Ag 0.500 0.250 0.000 1
Ge1 Ge 0.167 0.250 0.722 1
```

Properties
Crystal system: monoclinic
Calculated density: 6.195 g cm⁻³
Total DFT energy (no corrections): -102.5 eV per cell